(1)
VASP calculation (PBE) on a relaxed BaTl2O2 crystal.

Output
Formation energy from raw total energies, eV per atom: -1.359

```
data_BaTl2O2
_chemical_formula_sum 'Ba3 Tl6 O6'
_cell_length_a 3.8506
_cell_length_b 3.8506
_cell_length_c 28.0686
_cell_angle_alpha 90.00
_cell_angle_beta 90.00
_cell_angle_gamma 120.00
_space_group_name_H-M_alt 'R -3 m'
_space_group_IT_number 166
_space_group_name_Hall '-R 3 2"'
loop_
_atom_site_label
_atom_site_type_symbol
_atom_site_fract_x
_atom_site_fract_y
_atom_site_fract_z
Ba1 Ba 0.0000 0.0000 0.0000
Tl1 Tl 0.0000 0.0000 0.2244
O1 O 0.0000 0.0000 0.3894
```

---

(2)
VASP calculation (PBE) on a relaxed Ba6Tl3O crystal.

Output
Formation energy from raw total energies, eV per atom: -0.715

```
data_Ba6Tl3O
_chemical_formula_sum 'Ba24 Tl12 O4'
_cell_length_a 13.539
_cell_length_b 16.911
_cell_length_c 7.692
_cell_angle_alpha 90.00
_cell_angle_beta 90.00
_cell_angle_gamma 90.00
_space_group_name_H-M_alt 'C m c 21'
_space_group_IT_number 36
_space_group_name_Hall 'C 2c -2'
loop_
_atom_site_label
_atom_site_type_symbol
_atom_site_fract_x
_atom_site_fract_y
_atom_site_fract_z
Ba1 Ba 0.000 0.090 0.000
Ba2 Ba 0.000 0.299 0.738
Ba3 Ba 0.149 0.287 0.210
Ba4 Ba 0.220 0.474 0.710
Tl1 Tl 0.000 0.476 0.432
Tl2 Tl 0.117 0.123 0.526
O1 O 0.000 0.241 0.038
```

---

(3)
VASP calculation (PBE) on a relaxed Ba3TlO4 crystal.

Output
Formation energy from raw total energies, eV per atom: -1.984

```
data_Ba3TlO4
_chemical_formula_sum 'Ba6 Tl2 O8'
_cell_length_a 8.973
_cell_length_b 7.774
_cell_length_c 5.634
_cell_angle_alpha 90.00
_cell_angle_beta 90.00
_cell_angle_gamma 90.00
_space_group_name_H-M_alt 'P m n 21'
_space_group_IT_number 31
_space_group_name_Hall 'P 2ac -2'
loop_
_atom_site_label
_atom_site_type_symbol
_atom_site_fract_x
_atom_site_fract_y
_atom_site_fract_z
Ba1 Ba 0.000 0.146 0.000
Ba2 Ba 0.249 0.671 0.000
Tl1 Tl 0.000 0.825 0.492
O1 O 0.000 0.147 0.509
O2 O 0.000 0.821 0.081
O3 O 0.250 0.329 0.010
```

---

(4)
VASP calculation (PBE) on a relaxed Ba2TlO3 crystal.

Output
Formation energy from raw total energies, eV per atom: -1.832

```
data_Ba2TlO3
_chemical_formula_sum 'Ba16 Tl8 O24'
_cell_length_a 6.288
_cell_length_b 12.440
_cell_length_c 13.088
_cell_angle_alpha 90.00
_cell_angle_beta 94.23
_cell_angle_gamma 90.00
_space_group_name_H-M_alt 'C 1 2/c 1'
_space_group_IT_number 15
_space_group_name_Hall '-C 2yc'
loop_
_atom_site_label
_atom_site_type_symbol
_atom_site_fract_x
_atom_site_fract_y
_atom_site_fract_z
Ba1 Ba 0.216 0.114 0.424
Ba2 Ba 0.228 0.198 0.856
Tl1 Tl 0.189 0.500 0.330
O1 O 0.000 0.022 0.750
O2 O 0.000 0.342 0.750
O3 O 0.158 0.317 0.389
O4 O 0.200 0.100 0.035
```

---

(5)
VASP calculation (PBE) on a relaxed BaTl2O3 crystal.

Output
Formation energy from raw total energies, eV per atom: -0.886

```
data_BaTl2O3
_chemical_formula_sum 'Ba4 Tl8 O12'
_cell_length_a 6.776
_cell_length_b 13.230
_cell_length_c 5.965
_cell_angle_alpha 90.00
_cell_angle_beta 90.00
_cell_angle_gamma 90.00
_space_group_name_H-M_alt 'C m c m'
_space_group_IT_number 63
_space_group_name_Hall '-C 2c 2'
loop_
_atom_site_label
_atom_site_type_symbol
_atom_site_fract_x
_atom_site_fract_y
_atom_site_fract_z
Ba1 Ba 0.000 0.237 0.250
Tl1 Tl 0.247 0.500 0.000
O1 O 0.000 0.431 0.750
O2 O 0.237 0.137 0.750
```

---

(6)
VASP calculation (PBE) on a relaxed Ba4Tl2O crystal.

Output
Formation energy from raw total energies, eV per atom: -0.921

```
data_Ba4Tl2O
_chemical_formula_sum 'Ba8 Tl4 O2'
_cell_length_a 8.668
_cell_length_b 7.785
_cell_length_c 9.076
_cell_angle_alpha 90.00
_cell_angle_beta 104.67
_cell_angle_gamma 90.00
_space_group_name_H-M_alt 'P 1 21/m 1'
_space_group_IT_number 11
_space_group_name_Hall '-P 2yb'
loop_
_atom_site_label
_atom_site_type_symbol
_atom_site_fract_x
_atom_site_fract_y
_atom_site_fract_z
Ba1 Ba 0.089 0.250 0.429
Ba2 Ba 0.227 0.503 0.935
Ba3 Ba 0.410 0.750 0.619
Tl1 Tl 0.131 0.750 0.254
Tl2 Tl 0.499 0.750 0.241
O1 O 0.183 0.750 0.748
```

---

(7)
VASP calculation (PBE) on a relaxed Ba2TlO crystal.

Output
Formation energy from raw total energies, eV per atom: -1.312

```
data_Ba2TlO
_chemical_formula_sum 'Ba8 Tl4 O4'
_cell_length_a 7.825
_cell_length_b 7.825
_cell_length_c 9.793
_cell_angle_alpha 90.00
_cell_angle_beta 90.00
_cell_angle_gamma 90.00
_space_group_name_H-M_alt 'I -4 2 d'
_space_group_IT_number 122
_space_group_name_Hall 'I -4 2bw'
loop_
_atom_site_label
_atom_site_type_symbol
_atom_site_fract_x
_atom_site_fract_y
_atom_site_fract_z
Ba1 Ba 0.139 0.250 0.125
Tl1 Tl 0.000 0.000 0.500
O1 O 0.000 0.000 0.000
```

---

(8)
VASP calculation (PBE) on a relaxed BaTl2O4 crystal.

Output
Formation energy from raw total energies, eV per atom: -1.245

```
data_BaTl2O4
_chemical_formula_sum 'Ba4 Tl8 O16'
_cell_length_a 3.599
_cell_length_b 11.588
_cell_length_c 11.047
_cell_angle_alpha 90.00
_cell_angle_beta 90.00
_cell_angle_gamma 90.00
_space_group_name_H-M_alt 'C m c m'
_space_group_IT_number 63
_space_group_name_Hall '-C 2c 2'
loop_
_atom_site_label
_atom_site_type_symbol
_atom_site_fract_x
_atom_site_fract_y
_atom_site_fract_z
Ba1 Ba 0.000 0.105 0.250
Tl1 Tl 0.000 0.363 0.068
O1 O 0.000 0.000 0.000
O2 O 0.000 0.273 0.607
O3 O 0.000 0.436 0.250
```

---

What is the formation energy from raw total energies in the eighth record?
-1.245 eV per atom